A relaxed structure of K3CrMo2O8. Source: the Alexandria database, functional PBE+U.

Cell lengths 6.013, 6.013, 7.705 Å; angles 90.00, 90.00, 120.00 degrees
Fractional coordinates of all 14 atoms:
1 K 0.000 0.000 0.000
2 K 0.333 0.667 0.660
3 K 0.667 0.333 0.340
4 Cr 0.000 0.000 0.500
5 Mo 0.333 0.667 0.226
6 Mo 0.667 0.333 0.774
7 O 0.170 0.341 0.314
8 O 0.170 0.830 0.314
9 O 0.333 0.667 0.994
10 O 0.341 0.170 0.686
11 O 0.659 0.830 0.314
12 O 0.667 0.333 0.006
13 O 0.830 0.170 0.686
14 O 0.830 0.659 0.686

Symmetry: P-3m1 (164)
E_tot in eV/atom: -6.32